(1)
{
  "formula": "SrTeSeN2",
  "functional": "SCAN",
  "state": "single point on PBEsol structure",
  "e_form_raw_ev_per_atom": 0.314,
  "space_group": "No. 123",
  "cell": [[4.162, 0.000, 0.000], [0.000, 4.162, 0.000], [0.000, 0.000, 5.435]],
  "species": ["Sr", "Te", "Se", "N", "N"],
  "fractional_positions": [[0.000, 0.000, 0.000], [0.500, 0.500, 0.500], [0.500, 0.500, 0.000], [0.000, 0.500, 0.500], [0.500, 0.000, 0.500]]
}

(2)
{
  "formula": "CaTeP3",
  "functional": "SCAN",
  "state": "single point on PBEsol structure",
  "e_form_raw_ev_per_atom": 1.242,
  "space_group": "No. 221",
  "cell": [[5.072, 0.000, 0.000], [0.000, 5.072, 0.000], [0.000, 0.000, 5.072]],
  "species": ["Ca", "Te", "P", "P", "P"],
  "fractional_positions": [[0.000, 0.000, 0.000], [0.500, 0.500, 0.500], [0.000, 0.000, 0.500], [0.000, 0.500, 0.000], [0.500, 0.000, 0.000]]
}

(3)
{
  "formula": "ZrSbAu",
  "functional": "SCAN",
  "state": "single point on PBEsol structure",
  "e_form_raw_ev_per_atom": -0.297,
  "space_group": "No. 156",
  "cell": [[3.258, 0.000, 0.000], [-1.629, 2.822, 0.000], [0.000, 0.000, 6.993]],
  "species": ["Zr", "Sb", "Au"],
  "fractional_positions": [[0.000, 0.000, 0.000], [0.667, 0.333, 0.344], [0.333, 0.667, 0.695]]
}

(4)
{
  "formula": "MnAl2CuTe",
  "functional": "SCAN",
  "state": "single point on PBEsol structure",
  "e_form_raw_ev_per_atom": 0.566,
  "space_group": "No. 123",
  "cell": [[4.682, 0.000, 0.000], [0.000, 4.682, 0.000], [0.000, 0.000, 4.577]],
  "species": ["Mn", "Al", "Al", "Cu", "Te"],
  "fractional_positions": [[0.000, 0.000, 0.000], [0.000, 0.500, 0.000], [0.500, 0.000, 0.000], [0.000, 0.000, 0.500], [0.500, 0.500, 0.500]]
}

(5)
{
  "formula": "Hf2BrF",
  "functional": "SCAN",
  "state": "single point on PBEsol structure",
  "e_form_raw_ev_per_atom": -0.347,
  "space_group": "No. 225",
  "cell": [[6.419, 0.000, 0.000], [0.000, 6.419, 0.000], [0.000, 0.000, 6.419]],
  "species": ["Hf", "Hf", "Hf", "Hf", "Hf", "Hf", "Hf", "Hf", "Br", "Br", "Br", "Br", "F", "F", "F", "F"],
  "fractional_positions": [[0.250, 0.250, 0.250], [0.250, 0.250, 0.750], [0.250, 0.750, 0.250], [0.250, 0.750, 0.750], [0.750, 0.250, 0.250], [0.750, 0.250, 0.750], [0.750, 0.750, 0.250], [0.750, 0.750, 0.750], [0.000, 0.000, 0.000], [0.000, 0.500, 0.500], [0.500, 0.000, 0.500], [0.500, 0.500, 0.000], [0.000, 0.000, 0.500], [0.000, 0.500, 0.000], [0.500, 0.000, 0.000], [0.500, 0.500, 0.500]]
}

(6)
{
  "formula": "MgTaIr2",
  "functional": "SCAN",
  "state": "single point on PBEsol structure",
  "space_group": "No. 35",
  "delta_e_f_ev_per_atom": 0.081,
  "cell": [[2.885, 0.000, 0.000], [0.000, 4.699, 0.000], [0.000, 0.000, 9.355]],
  "species": ["Mg", "Mg", "Ta", "Ta", "Ir", "Ir", "Ir", "Ir"],
  "fractional_positions": [[0.000, 0.000, 0.000], [0.500, 0.500, 0.000], [0.000, 0.500, 0.721], [0.500, 0.000, 0.721], [0.000, 0.000, 0.482], [0.000, 0.500, 0.233], [0.500, 0.000, 0.233], [0.500, 0.500, 0.482]]
}

(7)
{
  "formula": "BiPdIN2",
  "functional": "SCAN",
  "state": "single point on PBEsol structure",
  "e_form_raw_ev_per_atom": 1.513,
  "space_group": "No. 123",
  "cell": [[4.243, 0.000, 0.000], [0.000, 4.243, 0.000], [0.000, 0.000, 5.257]],
  "species": ["Bi", "Pd", "I", "N", "N"],
  "fractional_positions": [[0.000, 0.000, 0.000], [0.500, 0.500, 0.500], [0.500, 0.500, 0.000], [0.000, 0.500, 0.500], [0.500, 0.000, 0.500]]
}

(8)
{
  "formula": "V4CoNiO12",
  "functional": "SCAN",
  "state": "single point on PBEsol structure",
  "e_form_raw_ev_per_atom": -2.262,
  "space_group": "No. 5",
  "cell": [[4.895, -4.392, 0.000], [4.895, 4.392, 0.000], [-2.034, 0.000, 5.331]],
  "species": ["V", "V", "V", "V", "Co", "Ni", "O", "O", "O", "O", "O", "O", "O", "O", "O", "O", "O", "O"],
  "fractional_positions": [[0.204, 0.204, 0.492], [0.392, 0.019, 0.995], [0.796, 0.796, 0.508], [0.981, 0.608, 0.005], [0.510, 0.490, 0.000], [0.675, 0.325, 0.500], [0.214, 0.062, 0.187], [0.221, 0.492, 0.017], [0.251, 0.029, 0.690], [0.401, 0.378, 0.609], [0.508, 0.779, 0.983], [0.564, 0.219, 0.115], [0.622, 0.599, 0.391], [0.678, 0.033, 0.517], [0.781, 0.436, 0.885], [0.938, 0.786, 0.813], [0.967, 0.322, 0.483], [0.971, 0.749, 0.310]]
}

(9)
{
  "formula": "YTaTl",
  "functional": "SCAN",
  "state": "single point on PBEsol structure",
  "space_group": "No. 107",
  "delta_e_f_ev_per_atom": 0.189,
  "cell": [[3.075, 0.000, 0.000], [0.000, 3.075, 0.000], [0.000, 0.000, 14.199]],
  "species": ["Y", "Y", "Ta", "Ta", "Tl", "Tl"],
  "fractional_positions": [[0.000, 0.000, 0.000], [0.500, 0.500, 0.500], [0.000, 0.000, 0.662], [0.500, 0.500, 0.162], [0.000, 0.000, 0.320], [0.500, 0.500, 0.820]]
}

(10)
{
  "formula": "Zr5Sb3O",
  "functional": "SCAN",
  "state": "single point on PBEsol structure",
  "e_form_raw_ev_per_atom": -1.244,
  "space_group": "No. 193",
  "cell": [[8.304, 0.000, 0.000], [-4.152, 7.192, 0.000], [0.000, 0.000, 5.753]],
  "species": ["Zr", "Zr", "Zr", "Zr", "Zr", "Zr", "Zr", "Zr", "Zr", "Zr", "Sb", "Sb", "Sb", "Sb", "Sb", "Sb", "O", "O"],
  "fractional_positions": [[0.000, 0.228, 0.250], [0.000, 0.772, 0.750], [0.228, 0.000, 0.250], [0.228, 0.228, 0.750], [0.333, 0.667, 0.000], [0.333, 0.667, 0.500], [0.667, 0.333, 0.000], [0.667, 0.333, 0.500], [0.772, 0.000, 0.750], [0.772, 0.772, 0.250], [0.000, 0.401, 0.750], [0.000, 0.599, 0.250], [0.401, 0.000, 0.750], [0.401, 0.401, 0.250], [0.599, 0.000, 0.250], [0.599, 0.599, 0.750], [0.000, 0.000, 0.000], [0.000, 0.000, 0.500]]
}